# 1
The following is a DFT calculation (PBE) of a relaxed structure of TmPu3Sc2Te6.

The structure in POSCAR format:
```
TmPu3Sc2Te6
1.0
8.943 -1.933 0.000
8.943 1.933 0.000
-2.758 0.000 9.424
Tm Pu Sc Te
1 3 2 6
direct
0.000 0.000 0.000 Tm
0.000 0.000 0.500 Pu
0.161 0.161 0.322 Pu
0.839 0.839 0.678 Pu
0.151 0.151 0.823 Sc
0.849 0.849 0.177 Sc
0.329 0.329 0.932 Te
0.342 0.342 0.412 Te
0.499 0.499 0.759 Te
0.501 0.501 0.241 Te
0.658 0.658 0.588 Te
0.671 0.671 0.068 Te
```

Calculated values
E_form (uncorrected) = -0.96 eV/atom
SG = No. 12

***

# 2
The following is a DFT calculation (PBE) of a relaxed structure of Tm3PuSc2Te6.

The structure in POSCAR format:
```
Tm3PuSc2Te6
1.0
9.339 -2.129 0.000
9.339 2.129 0.000
-1.987 0.000 8.353
Tm Pu Sc Te
3 1 2 6
direct
0.000 0.000 0.000 Tm
0.338 0.338 0.668 Tm
0.662 0.662 0.332 Tm
0.000 0.000 0.500 Pu
0.339 0.339 0.176 Sc
0.661 0.661 0.824 Sc
0.171 0.171 0.077 Te
0.171 0.171 0.591 Te
0.497 0.497 0.242 Te
0.503 0.503 0.758 Te
0.829 0.829 0.409 Te
0.829 0.829 0.923 Te
```

Calculated values
E_form (uncorrected) = -1.15 eV/atom
SG = No. 12

***

# 3
The following is a DFT calculation (PBE) of a relaxed structure of Tm2PuScTe4.

The structure in POSCAR format:
```
Tm2PuScTe4
1.0
7.461 0.000 0.000
0.000 4.280 0.000
-2.444 0.000 7.054
Tm Pu Sc Te
2 1 1 4
direct
0.000 0.000 0.000 Tm
0.000 0.500 0.500 Tm
0.500 0.000 0.500 Pu
0.500 0.500 0.000 Sc
0.247 0.500 0.241 Te
0.253 0.000 0.759 Te
0.747 0.000 0.241 Te
0.753 0.500 0.759 Te
```

Calculated values
E_form (uncorrected) = -1.14 eV/atom
SG = No. 10

***

no.,magnetic moment (μB per formula unit)
1,5.6
2,6.3
3,6.1